This record from Alexandria via LeMat-Bulk describes a relaxed LaTbTm crystal. The functional is GGA-PBE.

**Energy of formation**: 0.03 eV/atom
**DOS at the Fermi energy**: 4.40 states/eV/f.u.
**Excess energy over the best structure of this formula in the dataset**: 11 meV/atom
**Magnetic moment**: 0.00 Bohr magnetons per cell

Unit cell a=3.615 b=3.615 c=15.190 alpha=90.00 beta=90.00 gamma=90.00
Space group I4mm (No. 107)
Asymmetric unit:
1 La 0.000 0.000 0.000
2 Tb 0.000 0.000 0.671
3 Tm 0.000 0.000 0.331